[1]
# NaLi2TaAu

A relaxed NaLi2TaAu crystal (PBE, Alexandria).

Cell and atoms, written as extended XYZ:
```
5
Lattice="-1.5315 3.0366 3.9503 0.9321 -4.3814 3.7294 4.9123 1.6116 0.6657" Properties=species:S:1:pos:R:3 pbc="T T T"
Li 2.4561 0.8058 0.3328
Li -0.7658 1.5183 1.9751
Ta 0.0000 0.0000 0.0000
Au 2.1564 0.1334 4.1726
Na 0.4660 -2.1907 1.8647
```

Results
The value obtained for the formation energy is 1.486 eV/atom.



[2]
# SiCl

A relaxed SiCl crystal (PBE, Alexandria).

Cell and atoms, written as extended XYZ:
```
16
Lattice="-1.8485 1.4869 12.2020 11.3432 -4.5480 2.2726 1.5086 3.6543 -0.2168" Properties=species:S:1:pos:R:3 pbc="T T T"
Cl 7.6427 -0.7590 4.2348
Cl 3.3605 1.3522 10.0231
Cl 3.2143 -1.2542 1.2270
Cl 10.2793 -3.9045 5.7171
Cl 8.2305 -0.6889 9.5072
Cl 6.2803 -1.8069 13.2476
Cl 2.7727 1.2821 4.7506
Cl -0.7847 0.8434 8.7575
Si 5.0635 0.7089 11.0293
Si 9.1240 -1.1655 7.6904
Si 1.8793 1.7587 6.5675
Si -0.0472 0.4266 6.8624
Si 5.9397 -0.1156 3.2286
Si 4.5085 -1.1252 12.4081
Si 4.9862 -1.9359 2.0666
Si 9.5418 -3.4876 7.6122
```

Results
The uncorrected formation energy is -0.4078 eV per atom. For the energy above the most stable polymorph in this dataset, the calculation gives 25.7 kJ per mole of atoms.